No. 1
Density functional theory data (PBE) for a relaxed LaTbSi4 crystal.

Geometry as POSCAR:
```
LaTbSi4
1.0
4.0987 0.0000 -1.2656
-0.3908 4.0801 -1.2656
0.0384 0.0423 7.3941
La Tb Si
1 1 4
direct
0.2500 0.7500 0.5000 La
0.0000 0.0000 0.0000 Tb
0.6624 0.1624 0.3247 Si
0.5850 0.5850 0.1700 Si
0.8376 0.3376 0.6753 Si
0.4150 0.4150 0.8300 Si
```

crystal system = tetragonal
total energy = -5.814 eV per atom
space-group type = I-4m2 (119)
N(E_F) = 2.37 states/eV/cell

No. 2
Density functional theory data (PBE) for a relaxed LaTb2Si crystal.

Geometry as POSCAR:
```
LaTb2Si
1.0
-0.8101 1.8301 4.1674
-4.5673 0.6432 -1.1703
-1.0431 -4.3222 1.6953
Si Tb La
1 2 1
direct
0.5000 0.5000 0.5000 Si
0.0000 0.0000 0.5000 Tb
0.0000 0.5000 0.0000 Tb
0.5000 0.0000 0.0000 La
```

excess energy over the best structure of this formula in the dataset = 0 meV per atom
crystal system = tetragonal
total energy = -5.154 eV per atom
space-group type = P4/mmm (123)
N(E_F) = 4.65 states/eV/cell

No. 3
Density functional theory data (PBE) for a relaxed LaTb2Si6 crystal.

Geometry as POSCAR:
```
LaTb2Si6
1.0
-1.3322 -1.0920 3.6766
4.2704 -5.7353 -0.1561
2.3989 6.1722 2.7025
La Tb Si
1 2 6
direct
0.0000 0.0000 0.0000 La
0.0000 0.3333 0.6667 Tb
0.0000 0.6667 0.3333 Tb
0.5000 0.3374 0.3374 Si
0.5000 0.6626 0.6626 Si
0.5000 0.0000 0.6626 Si
0.5000 0.6626 0.0000 Si
0.5000 0.3374 0.0000 Si
0.5000 0.0000 0.3374 Si
```

crystal system = hexagonal
total energy = -5.767 eV per atom
space-group type = P6/mmm (191)
N(E_F) = 4.56 states/eV/cell

No. 4
Density functional theory data (PBE) for a relaxed La2TbSi crystal.

Geometry as POSCAR:
```
La2TbSi
1.0
4.9112 0.0000 0.0000
0.0000 4.7222 0.0000
0.0000 0.0000 4.7222
Si Tb La
1 1 2
direct
0.5000 0.5000 0.5000 Si
0.5000 0.0000 0.0000 Tb
0.0000 0.0000 0.5000 La
0.0000 0.5000 0.0000 La
```

crystal system = tetragonal
total energy = -5.247 eV per atom
space-group type = P4/mmm (123)
N(E_F) = 4.67 states/eV/cell

No. 5
Density functional theory data (PBE) for a relaxed LaTbSi crystal.

Geometry as POSCAR:
```
LaTbSi
1.0
-3.9017 -1.3858 1.4927
3.7105 -4.5029 5.5184
-2.0375 7.5779 1.7095
La Tb Si
3 3 3
direct
0.5000 0.4080 0.4080 La
0.5000 0.0000 0.5920 La
0.5000 0.5920 0.0000 La
0.0000 0.7422 0.7422 Tb
0.0000 0.0000 0.2578 Tb
0.0000 0.2578 0.0000 Tb
0.0000 0.3333 0.6667 Si
0.0000 0.6667 0.3333 Si
0.5000 0.0000 0.0000 Si
```

excess energy over the best structure of this formula in the dataset = 0 meV per atom
crystal system = hexagonal
total energy = -5.532 eV per atom
space-group type = P-62m (189)
N(E_F) = 11.74 states/eV/cell

No. 6
Density functional theory data (PBE) for a relaxed LaTb2Zn2Si2 crystal.

Geometry as POSCAR:
```
LaTb2Zn2Si2
1.0
-2.6339 -2.4304 2.0264
-0.0493 -4.0500 -0.7390
6.9105 -3.7569 8.6589
La Tb Zn Si
1 2 2 2
direct
0.0000 0.0000 0.0000 La
0.1233 0.1233 0.6300 Tb
0.8767 0.8767 0.3700 Tb
0.6022 0.6022 0.1934 Zn
0.3978 0.3978 0.8066 Zn
0.7329 0.7329 0.8012 Si
0.2671 0.2671 0.1988 Si
```

crystal system = trigonal
total energy = -4.400 eV per atom
space-group type = R-3m (166)
N(E_F) = 7.67 states/eV/cell

No. 7
Density functional theory data (PBE) for a relaxed LaSiTc crystal.

Geometry as POSCAR:
```
LaSiTc
1.0
4.4171 -0.2132 -0.0416
0.2123 4.4173 -0.0420
0.0637 0.0601 6.7433
La Si Tc
2 2 2
direct
0.8135 0.8664 0.6083 La
0.3137 0.3665 0.2309 La
0.8137 0.8665 0.0873 Si
0.3135 0.3664 0.7519 Si
0.8136 0.3665 0.9196 Tc
0.3136 0.8665 0.9196 Tc
```

excess energy over the best structure of this formula in the dataset = 0 meV per atom
crystal system = tetragonal
total energy = -7.503 eV per atom
space-group type = P4/nmm (129)
N(E_F) = 3.45 states/eV/cell

No. 8
Density functional theory data (PBE) for a relaxed LaSi2Tc crystal.

Geometry as POSCAR:
```
LaSi2Tc
1.0
-0.9807 4.5311 -0.5969
-1.3838 -0.9821 -4.3554
-1.9271 -2.3017 3.5830
La Si Tc
1 2 1
direct
0.7500 0.2500 0.5000 La
0.0000 0.0000 0.0000 Si
0.2500 0.7500 0.5000 Si
0.5000 0.5000 0.0000 Tc
```

excess energy over the best structure of this formula in the dataset = 880 meV per atom
crystal system = tetragonal
total energy = -6.315 eV per atom
space-group type = I-4m2 (119)
N(E_F) = 3.35 states/eV/cell

No. 9
Density functional theory data (PBE) for a relaxed LaSi2Tc crystal.

Geometry as POSCAR:
```
LaSi2Tc
1.0
4.7754 -0.0019 -0.0192
-1.3238 4.5882 -0.0192
0.4233 0.5624 3.4653
La Si Tc
1 2 1
direct
0.0000 0.5000 0.5000 La
0.0000 0.0000 0.0000 Si
0.5000 0.5000 0.0000 Si
0.5000 0.0000 0.5000 Tc
```

excess energy over the best structure of this formula in the dataset = 819 meV per atom
crystal system = monoclinic
total energy = -6.376 eV per atom
space-group type = C2/m (12)
N(E_F) = 3.04 states/eV/cell

No. 10
Density functional theory data (PBE) for a relaxed LaSiTc2 crystal.

Geometry as POSCAR:
```
LaSiTc2
1.0
3.1715 0.0000 0.0000
0.0000 3.1715 0.0000
0.0000 0.0000 7.2026
La Si Tc
1 1 2
direct
0.5000 0.5000 0.2500 La
0.5000 0.5000 0.7500 Si
0.0000 0.0000 0.9239 Tc
0.0000 0.0000 0.5761 Tc
```

crystal system = tetragonal
total energy = -7.751 eV per atom
space-group type = P4/mmm (123)
N(E_F) = 4.08 states/eV/cell

No. 11
Density functional theory data (PBE) for a relaxed LaSi2Tc crystal.

Geometry as POSCAR:
```
LaSi2Tc
1.0
-3.0179 -0.7635 -0.5921
0.8291 -1.0493 -2.8728
1.1115 -6.4779 2.6868
La Si Tc
1 2 1
direct
0.5000 0.5000 0.7500 La
0.0000 0.0000 0.0663 Si
0.0000 0.0000 0.4337 Si
0.5000 0.5000 0.2500 Tc
```

excess energy over the best structure of this formula in the dataset = 233 meV per atom
crystal system = tetragonal
total energy = -6.962 eV per atom
space-group type = P4/mmm (123)
N(E_F) = 3.09 states/eV/cell

No. 12
Density functional theory data (PBE) for a relaxed La3Si8Tc3 crystal.

Geometry as POSCAR:
```
La3Si8Tc3
1.0
-2.7189 -1.8130 2.6495
-4.5791 -4.8130 -4.6524
3.1102 -7.3362 1.5119
La Si Tc
3 8 3
direct
0.5000 0.5000 0.5000 La
0.8141 0.1859 0.1859 La
0.1859 0.8141 0.8141 La
0.6190 0.0916 0.6704 Si
0.3810 0.9084 0.3296 Si
0.6190 0.6704 0.0916 Si
0.3810 0.3296 0.9084 Si
0.8324 0.8182 0.5171 Si
0.1676 0.1818 0.4829 Si
0.8324 0.5171 0.8182 Si
0.1676 0.4829 0.1818 Si
0.5000 0.0000 0.0000 Tc
0.0000 0.7800 0.2200 Tc
0.0000 0.2200 0.7800 Tc
```

crystal system = orthorhombic
total energy = -6.842 eV per atom
space-group type = Immm (71)
N(E_F) = 6.62 states/eV/cell

Taking the records one at a time from the top gives ΔE_f (raw) values of -0.6061 -0.2516 -0.5754 -0.2695 -0.5385 -0.4597 -0.5975 0.2203 0.1590 0.0199 -0.4271 -0.4660 eV/atom.